Entry 1:
{"formula": "In2TeP", "functional": "PBE", "state": "relaxed", "polymorph_energy_mev_per_atom": 292, "mass_density_g_cm3": 5.8, "total_energy_ev_per_atom": -3.3677, "e_form_raw_ev_per_fu": 0.558, "lattice_angstrom": [[4.0153, 0.0000, 0.0000], [0.0000, 4.0153, 0.0000], [0.0000, 0.0000, 6.8480]], "species": ["In", "In", "Te", "P"], "frac_coords": [[0.0000, 0.0000, 0.0000], [0.5000, 0.5000, 0.1614], [0.5000, 0.5000, 0.5892], [0.0000, 0.0000, 0.6171]]}

---

Entry 2:
{"formula": "Th2AsRh3", "functional": "PBE", "state": "relaxed", "mass_density_g_cm3": 11.1, "total_energy_ev_per_atom": -7.7995, "lattice_angstrom": [[0.0000, 4.2661, 7.7119], [3.8564, 0.0000, 7.7119], [3.8564, 4.2661, 0.0000]], "species": ["Th", "Th", "Th", "Th", "As", "As", "Rh", "Rh", "Rh", "Rh", "Rh", "Rh"], "frac_coords": [[0.2485, 0.7515, 0.7515], [0.2500, 0.2500, 0.2500], [0.7500, 0.7500, 0.7500], [0.7515, 0.2485, 0.2485], [0.3357, 0.3357, 0.6643], [0.6643, 0.6643, 0.3357], [0.1682, 0.6630, 0.3370], [0.1764, 0.1764, 0.8236], [0.3370, 0.8318, 0.1682], [0.6630, 0.1682, 0.8318], [0.8236, 0.8236, 0.1764], [0.8318, 0.3370, 0.6630]]}

---

Entry 3:
{"formula": "SrCd2SiHg", "functional": "PBE", "state": "relaxed", "mass_density_g_cm3": 3.3, "total_energy_ev_per_atom": -1.1005, "e_form_raw_ev_per_fu": 3.735, "lattice_angstrom": [[6.7570, 0.0000, 0.0000], [0.0000, 6.7570, 0.0000], [0.0000, 0.0000, 5.9722]], "species": ["Sr", "Cd", "Cd", "Si", "Hg"], "frac_coords": [[0.0000, 0.0000, 0.0000], [0.0000, 0.5000, 0.0000], [0.5000, 0.0000, 0.0000], [0.0000, 0.0000, 0.5000], [0.5000, 0.5000, 0.5000]]}

---

Entry 4:
{"formula": "ScNb2Br2", "functional": "PBE", "state": "relaxed", "polymorph_energy_mev_per_atom": 270, "mass_density_g_cm3": 6.5, "total_energy_ev_per_atom": -5.3997, "e_form_raw_ev_per_fu": 2.818, "lattice_angstrom": [[8.0572, 0.0000, 0.0000], [0.0000, 8.0572, 0.0000], [0.0000, 0.0000, 3.0966]], "species": ["Sc", "Sc", "Nb", "Nb", "Nb", "Nb", "Br", "Br", "Br", "Br"], "frac_coords": [[0.0000, 0.0000, 0.0000], [0.5000, 0.5000, 0.0000], [0.1444, 0.3556, 0.0000], [0.3556, 0.8556, 0.0000], [0.6444, 0.1444, 0.0000], [0.8556, 0.6444, 0.0000], [0.1467, 0.6467, 0.5000], [0.3533, 0.1467, 0.5000], [0.6467, 0.8533, 0.5000], [0.8533, 0.3533, 0.5000]]}

---

Entry 5:
{"formula": "KYPu2O8", "functional": "PBE", "state": "relaxed", "mass_density_g_cm3": 7.9, "total_energy_ev_per_atom": -8.7986, "e_form_raw_ev_per_fu": -29.692, "lattice_angstrom": [[-2.7335, 2.7335, 5.2189], [2.7335, -2.7335, 5.2189], [2.7335, 2.7335, -5.2189]], "species": ["K", "Y", "Pu", "Pu", "O", "O", "O", "O", "O", "O", "O", "O"], "frac_coords": [[0.0000, 0.0000, 0.0000], [0.2500, 0.7500, 0.5000], [0.5000, 0.5000, 0.0000], [0.7500, 0.2500, 0.5000], [0.1340, 0.1529, 0.5454], [0.1340, 0.5885, 0.9811], [0.4115, 0.3925, 0.5454], [0.4115, 0.8660, 0.0189], [0.6075, 0.1529, 0.0189], [0.6075, 0.5885, 0.4546], [0.8471, 0.3925, 0.9811], [0.8471, 0.8660, 0.4546]]}

---

Entry 6:
{"formula": "Ba2GaTeSe5", "functional": "PBE", "state": "relaxed", "mass_density_g_cm3": 5.2, "total_energy_ev_per_atom": -4.1140, "e_form_raw_ev_per_fu": -9.589, "lattice_angstrom": [[2.2522, -9.4824, 0.0000], [2.2522, 9.4824, 0.0000], [0.0000, 0.0000, 12.9478]], "species": ["Ba", "Ba", "Ba", "Ba", "Ga", "Ga", "Te", "Te", "Se", "Se", "Se", "Se", "Se", "Se", "Se", "Se", "Se", "Se"], "frac_coords": [[0.1073, 0.8927, 0.5000], [0.1313, 0.8687, 0.1227], [0.8687, 0.1313, 0.6227], [0.8927, 0.1073, 0.0000], [0.4332, 0.5668, 0.2437], [0.5668, 0.4332, 0.7437], [0.2148, 0.7852, 0.8426], [0.7852, 0.2148, 0.3426], [0.0514, 0.9486, 0.8448], [0.2826, 0.7174, 0.4609], [0.3149, 0.6851, 0.1655], [0.3530, 0.6470, 0.8124], [0.4925, 0.5075, 0.5913], [0.5075, 0.4925, 0.0913], [0.6470, 0.3530, 0.3124], [0.6851, 0.3149, 0.6655], [0.7174, 0.2826, 0.9609], [0.9486, 0.0514, 0.3448]]}